A plane-wave DFT calculation with GGA+U was carried out for a relaxed MgMn2P2H4O10 crystal.

Geometry as POSCAR:
```
MgMn2P2H4O10
1.0
-1.852 -3.783 2.943
5.460 -0.137 0.935
-2.055 7.182 3.506
O Mg P H Mn
10 1 2 4 2
direct
0.790 0.638 0.779 O
0.240 0.866 0.701 O
0.289 0.324 0.653 O
0.730 0.121 0.356 O
0.577 0.258 0.941 O
0.029 0.174 0.853 O
0.217 0.412 0.269 O
0.739 0.658 0.335 O
0.961 0.910 0.154 O
0.440 0.763 0.062 O
0.673 0.925 0.905 Mg
0.276 0.161 0.785 P
0.717 0.868 0.236 P
0.602 0.487 0.700 H
0.436 0.493 0.299 H
0.164 0.215 0.231 H
0.933 0.710 0.727 H
0.035 0.488 0.472 Mn
0.021 0.536 0.024 Mn
```

Output
total magnetization: 10.00 μB/f.u.
energy above the most stable polymorph in this dataset: 0.016 eV per atom

A plane-wave DFT calculation with GGA+U was carried out for a relaxed MgMn2P2H4O10 crystal.

Geometry as POSCAR:
```
MgMn2P2H4O10
1.0
5.334 -0.052 -0.086
-0.876 5.530 -0.010
-2.381 -2.091 7.124
H O P Mg Mn
4 10 2 1 2
direct
0.992 0.918 0.636 H
0.901 0.864 0.808 H
0.875 0.921 0.291 H
0.068 0.103 0.215 H
0.293 0.367 0.686 O
0.740 0.682 0.343 O
0.288 0.647 0.388 O
0.687 0.753 0.857 O
0.720 0.325 0.928 O
0.061 0.961 0.774 O
0.331 0.288 0.141 O
0.908 0.086 0.255 O
0.768 0.394 0.642 O
0.320 0.697 0.075 O
0.609 0.460 0.774 P
0.423 0.584 0.245 P
0.091 0.344 0.874 Mg
0.510 0.011 0.000 Mn
0.992 0.457 0.462 Mn
```

Output
total magnetization: 10.00 μB/f.u.
energy above the most stable polymorph in this dataset: 0.000 eV per atom